Record 1
Material: BaCaZn2F8
Method: DFT, PBE-GGA
State: relaxed

Lattice parameters (Å, degrees): 5.9986 5.9986 7.6180 90.00 90.00 120.00
Atoms (fractional coordinates):
Ba 0.0000 0.0000 0.0000
Ca 0.0000 0.0000 0.5000
Zn 0.3333 0.6667 0.2170
Zn 0.6667 0.3333 0.7830
F 0.1562 0.3124 0.2931
F 0.1562 0.8438 0.2931
F 0.3124 0.1562 0.7069
F 0.3333 0.6667 0.9674
F 0.6667 0.3333 0.0326
F 0.6876 0.8438 0.2931
F 0.8438 0.1562 0.7069
F 0.8438 0.6876 0.7069

Output
Total energy in eV for the cell shown: -57.60
Magnetic moment in μB per formula unit: 0.27
Raw formation energy in kJ/mol of atoms: -290.7

Record 2
Material: BaCa2ZnF8
Method: DFT, PBE-GGA
State: relaxed

Lattice parameters (Å, degrees): 4.3048 5.6325 7.7887 88.70 86.77 87.84
Atoms (fractional coordinates):
Ba 0.0000 0.0000 0.0000
Ca 0.4489 0.5040 0.2644
Ca 0.5511 0.4960 0.7356
Zn 0.0000 0.0000 0.5000
F 0.0617 0.3302 0.7447
F 0.1466 0.1680 0.2951
F 0.3656 0.7457 0.5014
F 0.4904 0.7267 0.9949
F 0.5096 0.2733 0.0051
F 0.6344 0.2543 0.4986
F 0.8534 0.8320 0.7049
F 0.9383 0.6698 0.2553

Output
Total energy in eV for the cell shown: -63.37
Magnetic moment in μB per formula unit: 0.00
Raw formation energy in kJ/mol of atoms: -331.3

Record 3
Material: BaCaFe
Method: DFT, PBE-GGA
State: relaxed

Lattice parameters (Å, degrees): 7.6009 7.6009 7.6009 90.00 90.00 90.00
Atoms (fractional coordinates):
Ba 0.0000 0.0000 0.0000
Ba 0.0000 0.5000 0.5000
Ba 0.5000 0.0000 0.5000
Ba 0.5000 0.5000 0.0000
Ca 0.0000 0.0000 0.5000
Ca 0.0000 0.5000 0.0000
Ca 0.5000 0.0000 0.0000
Ca 0.5000 0.5000 0.5000
Fe 0.2500 0.2500 0.7500
Fe 0.2500 0.7500 0.2500
Fe 0.7500 0.2500 0.2500
Fe 0.7500 0.7500 0.7500

Output
Total energy in eV for the cell shown: -41.35
Magnetic moment in μB per formula unit: 2.09
ΔE_f in eV per formula unit: 2.05
Polymorph energy (0 for the lowest one) in eV/atom: 0.157

Record 4
Material: Ba2CaFe2
Method: DFT, PBE-GGA
State: relaxed

Lattice parameters (Å, degrees): 5.5256 5.5256 11.5361 90.00 90.00 90.00
Atoms (fractional coordinates):
Ba 0.0000 0.0000 0.1480
Ba 0.0000 0.0000 0.8520
Ba 0.5000 0.5000 0.3520
Ba 0.5000 0.5000 0.6480
Ca 0.0000 0.0000 0.5000
Ca 0.5000 0.5000 0.0000
Fe 0.0000 0.5000 0.2500
Fe 0.0000 0.5000 0.7500
Fe 0.5000 0.0000 0.2500
Fe 0.5000 0.0000 0.7500

Output
Total energy in eV for the cell shown: -35.82
Magnetic moment in μB per formula unit: 4.40
ΔE_f in eV per formula unit: 4.86
Polymorph energy (0 for the lowest one) in eV/atom: 0.000

Record 5
Material: Ba2CaFe2
Method: DFT, PBE-GGA
State: relaxed

Lattice parameters (Å, degrees): 9.1251 9.1251 3.3809 90.00 90.00 90.00
Atoms (fractional coordinates):
Ba 0.1352 0.3648 0.0000
Ba 0.3648 0.8648 0.0000
Ba 0.6352 0.1352 0.0000
Ba 0.8648 0.6352 0.0000
Ca 0.0000 0.0000 0.0000
Ca 0.5000 0.5000 0.0000
Fe 0.1716 0.6716 0.5000
Fe 0.3284 0.1716 0.5000
Fe 0.6716 0.8284 0.5000
Fe 0.8284 0.3284 0.5000

Output
Total energy in eV for the cell shown: -34.22
Magnetic moment in μB per formula unit: 0.01
ΔE_f in eV per formula unit: 5.66
Polymorph energy (0 for the lowest one) in eV/atom: 0.160

Record 6
Material: BaCaFe
Method: DFT, PBE-GGA
State: relaxed

Lattice parameters (Å, degrees): 7.7200 7.7200 7.7200 90.00 90.00 90.00
Atoms (fractional coordinates):
Ba 0.0000 0.0000 0.0000
Ba 0.0000 0.5000 0.5000
Ba 0.5000 0.0000 0.5000
Ba 0.5000 0.5000 0.0000
Ca 0.2500 0.2500 0.7500
Ca 0.2500 0.7500 0.2500
Ca 0.7500 0.2500 0.2500
Ca 0.7500 0.7500 0.7500
Fe 0.2500 0.2500 0.2500
Fe 0.2500 0.7500 0.7500
Fe 0.7500 0.2500 0.7500
Fe 0.7500 0.7500 0.2500

Output
Total energy in eV for the cell shown: -35.23
Magnetic moment in μB per formula unit: 2.46
ΔE_f in eV per formula unit: 3.58
Polymorph energy (0 for the lowest one) in eV/atom: 0.667

Record 7
Material: BaCaFe
Method: DFT, PBE-GGA
State: relaxed

Lattice parameters (Å, degrees): 4.0763 4.0763 7.5868 90.00 90.00 120.00
Atoms (fractional coordinates):
Ba 0.0000 0.0000 0.0000
Ca 0.3333 0.6667 0.4873
Fe 0.6667 0.3333 0.7282

Output
Total energy in eV for the cell shown: -10.42
Magnetic moment in μB per formula unit: 2.00
ΔE_f in eV per formula unit: 1.96
Polymorph energy (0 for the lowest one) in eV/atom: 0.127

Record 8
Material: BaCaFe3
Method: DFT, PBE-GGA
State: relaxed

Lattice parameters (Å, degrees): 5.1637 5.1637 5.1637 90.00 90.00 90.00
Atoms (fractional coordinates):
Ba 0.0000 0.0000 0.0000
Ca 0.5000 0.5000 0.5000
Fe 0.0000 0.5000 0.5000
Fe 0.5000 0.0000 0.5000
Fe 0.5000 0.5000 0.0000

Output
Total energy in eV for the cell shown: -22.16
Magnetic moment in μB per formula unit: 8.17
ΔE_f in eV per formula unit: 7.15
Polymorph energy (0 for the lowest one) in eV/atom: 0.000

Record 9
Material: BaCaFe
Method: DFT, PBE-GGA
State: relaxed

Lattice parameters (Å, degrees): 5.3381 5.3381 4.1893 90.00 90.00 120.00
Atoms (fractional coordinates):
Ba 0.0000 0.0000 0.0000
Ca 0.6667 0.3333 0.4832
Fe 0.3333 0.6667 0.6024

Output
Total energy in eV for the cell shown: -10.29
Magnetic moment in μB per formula unit: 2.09
ΔE_f in eV per formula unit: 2.09
Polymorph energy (0 for the lowest one) in eV/atom: 0.172

Record 10
Material: Ba3CaFe
Method: DFT, PBE-GGA
State: relaxed

Lattice parameters (Å, degrees): 6.0457 6.0457 6.0457 90.00 90.00 90.00
Atoms (fractional coordinates):
Ba 0.0000 0.0000 0.5000
Ba 0.0000 0.5000 0.0000
Ba 0.5000 0.0000 0.0000
Ca 0.5000 0.5000 0.5000
Fe 0.0000 0.0000 0.0000

Output
Total energy in eV for the cell shown: -13.95
Magnetic moment in μB per formula unit: 0.00
ΔE_f in eV per formula unit: 2.28

Record 11
Material: BaCaFe3
Method: DFT, PBE-GGA
State: relaxed

Lattice parameters (Å, degrees): 5.2035 5.2035 5.2035 90.00 90.00 90.00
Atoms (fractional coordinates):
Ba 0.0000 0.0000 0.0000
Ca 0.5000 0.5000 0.5000
Fe 0.0000 0.0000 0.5000
Fe 0.0000 0.5000 0.0000
Fe 0.5000 0.0000 0.0000

Output
Total energy in eV for the cell shown: -20.47
Magnetic moment in μB per formula unit: 8.45
ΔE_f in eV per formula unit: 8.84
Polymorph energy (0 for the lowest one) in eV/atom: 0.337

Record 12
Material: BaCaFe
Method: DFT, PBE-GGA
State: relaxed

Lattice parameters (Å, degrees): 3.7981 3.7981 14.0615 90.00 90.00 90.00
Atoms (fractional coordinates):
Ba 0.0000 0.0000 0.0000
Ba 0.5000 0.5000 0.5000
Ca 0.0000 0.0000 0.2589
Ca 0.5000 0.5000 0.7589
Fe 0.0000 0.0000 0.6452
Fe 0.5000 0.5000 0.1452

Output
Total energy in eV for the cell shown: -21.61
Magnetic moment in μB per formula unit: 2.13
ΔE_f in eV per formula unit: 1.58
Polymorph energy (0 for the lowest one) in eV/atom: 0.000